Record 1
Compound: FeMoW2
Source: the Alexandria database
Functional: PBE
Structure: optimized geometry

abc: 6.2105 6.2105 6.2105
angles: 90.00 90.00 90.00
Element x y z (fractional)
Fe  0.0000  0.0000  0.0000
Fe  0.0000  0.5000  0.5000
Fe  0.5000  0.0000  0.5000
Fe  0.5000  0.5000  0.0000
Mo  0.0000  0.0000  0.5000
Mo  0.0000  0.5000  0.0000
Mo  0.5000  0.0000  0.0000
Mo  0.5000  0.5000  0.5000
W  0.2500  0.2500  0.2500
W  0.2500  0.2500  0.7500
W  0.2500  0.7500  0.2500
W  0.2500  0.7500  0.7500
W  0.7500  0.2500  0.2500
W  0.7500  0.2500  0.7500
W  0.7500  0.7500  0.2500
W  0.7500  0.7500  0.7500

Computed properties:
- offset from the most stable computed form (eV/atom) = 0.078
- formation energy (eV/atom) = 0.15
- volume (Å³ per cell) = 240

=====

Record 2
Compound: ReHg2Te
Source: the Alexandria database
Functional: PBE
Structure: optimized geometry

abc: 7.0066 7.0066 7.0066
angles: 90.00 90.00 90.00
Element x y z (fractional)
Re  0.0000  0.0000  0.0000
Re  0.0000  0.5000  0.5000
Re  0.5000  0.0000  0.5000
Re  0.5000  0.5000  0.0000
Hg  0.0000  0.0000  0.5000
Hg  0.0000  0.5000  0.0000
Hg  0.2500  0.2500  0.2500
Hg  0.2500  0.7500  0.7500
Hg  0.5000  0.0000  0.0000
Hg  0.5000  0.5000  0.5000
Hg  0.7500  0.2500  0.7500
Hg  0.7500  0.7500  0.2500
Te  0.2500  0.2500  0.7500
Te  0.2500  0.7500  0.2500
Te  0.7500  0.2500  0.2500
Te  0.7500  0.7500  0.7500

Computed properties:
- offset from the most stable computed form (eV/atom) = 0.637
- energy relative to the elements, uncorrected (eV/atom) = 1.0424
- volume (Å³ per cell) = 344

=====

Record 3
Compound: DyGaS3
Source: the Alexandria database
Functional: PBE
Structure: optimized geometry

abc: 7.0139 7.0139 7.0139
angles: 55.73 55.73 55.73
Element x y z (fractional)
Dy  0.1455  0.1455  0.1455
Dy  0.8545  0.8545  0.8545
Ga  0.3452  0.3452  0.3452
Ga  0.6548  0.6548  0.6548
S  0.0609  0.4546  0.7188
S  0.2812  0.9391  0.5454
S  0.4546  0.7188  0.0609
S  0.5454  0.2812  0.9391
S  0.7188  0.0609  0.4546
S  0.9391  0.5454  0.2812

Computed properties:
- energy relative to the elements, uncorrected (eV/atom) = -1.2113
- volume (Å³ per cell) = 220

=====

Record 4
Compound: Pb3SeBr
Source: the Alexandria database
Functional: PBE
Structure: optimized geometry

abc: 5.7976 5.7976 5.7976
angles: 90.00 90.00 90.00
Element x y z (fractional)
Pb  0.0000  0.0000  0.5000
Pb  0.0000  0.5000  0.0000
Pb  0.5000  0.0000  0.0000
Se  0.0000  0.0000  0.0000
Br  0.5000  0.5000  0.5000

Computed properties:
- offset from the most stable computed form (eV/atom) = 0.000
- energy relative to the elements, uncorrected (eV/atom) = 0.0907
- volume (Å³ per cell) = 195

=====

Record 5
Compound: Ho4In16Co3
Source: the Alexandria database
Functional: PBE
Structure: optimized geometry

abc: 6.5416 6.5416 12.1751
angles: 90.00 90.00 90.00
Element x y z (fractional)
Ho  0.0000  0.5000  0.1965
Ho  0.0000  0.5000  0.8035
Ho  0.5000  0.0000  0.1965
Ho  0.5000  0.0000  0.8035
In  0.0000  0.0000  0.1954
In  0.0000  0.0000  0.8046
In  0.2283  0.2283  0.0000
In  0.2283  0.7717  0.0000
In  0.2492  0.2492  0.3818
In  0.2492  0.2492  0.6182
In  0.2492  0.7508  0.3818
In  0.2492  0.7508  0.6182
In  0.5000  0.5000  0.2093
In  0.5000  0.5000  0.7907
In  0.7508  0.2492  0.3818
In  0.7508  0.2492  0.6182
In  0.7508  0.7508  0.3818
In  0.7508  0.7508  0.6182
In  0.7717  0.2283  0.0000
In  0.7717  0.7717  0.0000
Co  0.0000  0.5000  0.5000
Co  0.5000  0.0000  0.5000
Co  0.5000  0.5000  0.0000

Computed properties:
- formation energy (eV/atom) = -0.25
- volume (Å³ per cell) = 521

=====

Record 6
Compound: Rb2CdSn
Source: the Alexandria database
Functional: PBE
Structure: optimized geometry

abc: 8.9579 8.9579 8.9579
angles: 90.00 90.00 90.00
Element x y z (fractional)
Rb  0.2500  0.2500  0.2500
Rb  0.2500  0.2500  0.7500
Rb  0.2500  0.7500  0.2500
Rb  0.2500  0.7500  0.7500
Rb  0.7500  0.2500  0.2500
Rb  0.7500  0.2500  0.7500
Rb  0.7500  0.7500  0.2500
Rb  0.7500  0.7500  0.7500
Cd  0.0000  0.0000  0.0000
Cd  0.0000  0.5000  0.5000
Cd  0.5000  0.0000  0.5000
Cd  0.5000  0.5000  0.0000
Sn  0.0000  0.0000  0.5000
Sn  0.0000  0.5000  0.0000
Sn  0.5000  0.0000  0.0000
Sn  0.5000  0.5000  0.5000

Computed properties:
- formation energy (eV/atom) = 0.11
- volume (Å³ per cell) = 719

=====

Record 7
Compound: OsRu2Br
Source: the Alexandria database
Functional: PBE
Structure: optimized geometry

abc: 2.9001 4.4948 9.3249
angles: 90.00 90.00 90.00
Element x y z (fractional)
Os  0.0000  0.0000  0.0000
Os  0.5000  0.5000  0.5000
Ru  0.0000  0.0000  0.5399
Ru  0.0000  0.5000  0.7488
Ru  0.5000  0.0000  0.2488
Ru  0.5000  0.5000  0.0399
Br  0.0000  0.5000  0.2664
Br  0.5000  0.0000  0.7664

Computed properties:
- offset from the most stable computed form (eV/atom) = 0.383
- energy relative to the elements, uncorrected (eV/atom) = 1.0079
- volume (Å³ per cell) = 122

=====

Record 8
Compound: TbDy4Al5
Source: the Alexandria database
Functional: PBE
Structure: optimized geometry

abc: 3.5884 3.5884 18.1363
angles: 90.00 90.00 90.00
Element x y z (fractional)
Tb  0.0000  0.0000  0.0000
Dy  0.0000  0.0000  0.2008
Dy  0.0000  0.0000  0.4003
Dy  0.0000  0.0000  0.5997
Dy  0.0000  0.0000  0.7992
Al  0.5000  0.5000  0.1012
Al  0.5000  0.5000  0.3005
Al  0.5000  0.5000  0.5000
Al  0.5000  0.5000  0.6995
Al  0.5000  0.5000  0.8988

Computed properties:
- formation energy (eV/atom) = -0.40
- volume (Å³ per cell) = 234

=====

Record 9
Compound: Zr3Cu4
Source: the Alexandria database
Functional: PBE
Structure: optimized geometry

abc: 5.7169 5.7169 4.5906
angles: 90.00 90.00 120.00
Element x y z (fractional)
Zr  0.0000  0.5000  0.0000
Zr  0.5000  0.0000  0.0000
Zr  0.5000  0.5000  0.0000
Cu  0.0000  0.0000  0.2517
Cu  0.0000  0.0000  0.7483
Cu  0.3333  0.6667  0.5000
Cu  0.6667  0.3333  0.5000

Computed properties:
- offset from the most stable computed form (eV/atom) = 0.474
- formation energy (eV/atom) = 0.34
- volume (Å³ per cell) = 130

=====

Record 10
Compound: As3IrRh
Source: the Alexandria database
Functional: PBE
Structure: optimized geometry

abc: 4.7598 4.7598 4.7598
angles: 90.00 90.00 90.00
Element x y z (fractional)
As  0.0000  0.0000  0.5000
As  0.0000  0.5000  0.0000
As  0.5000  0.0000  0.0000
Ir  0.0000  0.0000  0.0000
Rh  0.5000  0.5000  0.5000

Computed properties:
- offset from the most stable computed form (eV/atom) = 0.000
- formation energy (eV/atom) = 0.86
- volume (Å³ per cell) = 108

=====

Record 11
Compound: ZrBeSb2Rh
Source: the Alexandria database
Functional: PBE
Structure: optimized geometry

abc: 5.5131 5.5131 4.8043
angles: 90.00 90.00 90.00
Element x y z (fractional)
Zr  0.0000  0.0000  0.0000
Be  0.5000  0.5000  0.5000
Sb  0.0000  0.5000  0.0000
Sb  0.5000  0.0000  0.0000
Rh  0.0000  0.0000  0.5000

Computed properties:
- offset from the most stable computed form (eV/atom) = 0.000
- energy relative to the elements, uncorrected (eV/atom) = 1.0841
- volume (Å³ per cell) = 146